A crystal of Zn2BiSbRh relaxed with PBEsol. Source: Alexandria via LeMat-Bulk, functional meta-GGA SCAN.

Geometry as extended XYZ:
```
5
Lattice="4.946 0.000 0.000 0.000 4.946 0.000 0.000 0.000 5.922" Properties=species:S:1:pos:R:3 pbc="T T T"
Zn 0.000 2.473 0.000
Zn 2.473 0.000 0.000
Bi 0.000 0.000 0.000
Sb 0.000 0.000 2.961
Rh 2.473 2.473 2.961
```

Its space-group type is No. 123. As for the density of states at the Fermi level: 0.406 states/eV/atom. The calculation puts the total energy at -34.04 eV/atom.


A crystal of BiRhSe3 relaxed with PBEsol. Source: Alexandria via LeMat-Bulk, functional meta-GGA SCAN.

Geometry as extended XYZ:
```
5
Lattice="4.830 0.000 0.000 0.000 4.830 0.000 0.000 0.000 4.830" Properties=species:S:1:pos:R:3 pbc="T T T"
Bi 0.000 0.000 0.000
Rh 2.415 2.415 2.415
Se 0.000 2.415 2.415
Se 2.415 0.000 2.415
Se 2.415 2.415 0.000
```

Its space-group type is No. 221. As for the density of states at the Fermi level: 1.029 states/eV/atom. The calculation puts the total energy at -34.34 eV/atom.


A crystal of Si3BiRh relaxed with PBEsol. Source: Alexandria via LeMat-Bulk, functional meta-GGA SCAN.

Geometry as extended XYZ:
```
5
Lattice="4.653 0.000 0.000 0.000 4.653 0.000 0.000 0.000 4.653" Properties=species:S:1:pos:R:3 pbc="T T T"
Si 0.000 0.000 2.326
Si 0.000 2.326 0.000
Si 2.326 0.000 0.000
Bi 2.326 2.326 2.326
Rh 0.000 0.000 0.000
```

Its space-group type is No. 221. As for the density of states at the Fermi level: 0.357 states/eV/atom. The calculation puts the total energy at -28.13 eV/atom. For the energy above the most stable polymorph in this dataset, the calculation gives 0.00 eV/f.u.


A crystal of SiTcBiRh2 relaxed with PBEsol. Source: Alexandria via LeMat-Bulk, functional meta-GGA SCAN.

Geometry as extended XYZ:
```
5
Lattice="4.684 0.000 0.000 0.000 4.684 0.000 0.000 0.000 4.554" Properties=species:S:1:pos:R:3 pbc="T T T"
Si 0.000 0.000 0.000
Tc 0.000 0.000 2.277
Bi 2.342 2.342 0.000
Rh 0.000 2.342 2.277
Rh 2.342 0.000 2.277
```

Its space-group type is No. 123. As for the density of states at the Fermi level: 0.716 states/eV/atom. The calculation puts the total energy at -37.38 eV/atom.


A crystal of SnBi3Rh relaxed with PBEsol. Source: Alexandria via LeMat-Bulk, functional meta-GGA SCAN.

Geometry as extended XYZ:
```
5
Lattice="5.573 0.000 0.000 0.000 5.573 0.000 0.000 0.000 5.573" Properties=species:S:1:pos:R:3 pbc="T T T"
Sn 0.000 0.000 0.000
Bi 0.000 0.000 2.786
Bi 0.000 2.786 0.000
Bi 2.786 0.000 0.000
Rh 2.786 2.786 2.786
```

Its space-group type is No. 221. As for the density of states at the Fermi level: 0.916 states/eV/atom. The calculation puts the total energy at -59.63 eV/atom.


A crystal of SnBiRh3 relaxed with PBEsol. Source: Alexandria via LeMat-Bulk, functional meta-GGA SCAN.

Geometry as extended XYZ:
```
5
Lattice="4.899 0.000 0.000 0.000 4.899 0.000 0.000 0.000 4.899" Properties=species:S:1:pos:R:3 pbc="T T T"
Sn 0.000 0.000 0.000
Bi 2.450 2.450 2.450
Rh 0.000 2.450 2.450
Rh 2.450 0.000 2.450
Rh 2.450 2.450 0.000
```

Its space-group type is No. 221. As for the density of states at the Fermi level: 0.989 states/eV/atom. The calculation puts the total energy at -42.00 eV/atom.


A crystal of TaSnBi2Rh relaxed with PBEsol. Source: Alexandria via LeMat-Bulk, functional meta-GGA SCAN.

Geometry as extended XYZ:
```
5
Lattice="5.451 0.000 0.000 0.000 5.451 0.000 0.000 0.000 4.727" Properties=species:S:1:pos:R:3 pbc="T T T"
Ta 0.000 0.000 0.000
Sn 2.725 2.725 2.363
Bi 0.000 2.725 0.000
Bi 2.725 0.000 0.000
Rh 0.000 0.000 2.363
```

Its space-group type is No. 123. As for the density of states at the Fermi level: 0.915 states/eV/atom. The calculation puts the total energy at -57.85 eV/atom.


A crystal of SrBi2Rh2 relaxed with PBEsol. Source: Alexandria via LeMat-Bulk, functional meta-GGA SCAN.

Geometry as extended XYZ:
```
5
Lattice="-2.321 2.321 5.708 2.321 -2.321 5.708 2.321 2.321 -5.708" Properties=species:S:1:pos:R:3 pbc="T T T"
Sr 0.000 0.000 0.000
Bi 0.000 0.000 4.142
Bi 0.000 0.000 7.275
Rh 2.321 0.000 2.854
Rh 0.000 2.321 2.854
```

Its space-group type is No. 139. As for the density of states at the Fermi level: 1.025 states/eV/atom. The calculation puts the total energy at -49.83 eV/atom.


A crystal of SrBiRh3 relaxed with PBEsol. Source: Alexandria via LeMat-Bulk, functional meta-GGA SCAN.

Geometry as extended XYZ:
```
5
Lattice="4.957 0.000 0.000 0.000 4.957 0.000 0.000 0.000 4.957" Properties=species:S:1:pos:R:3 pbc="T T T"
Sr 0.000 0.000 0.000
Bi 2.479 2.479 2.479
Rh 0.000 2.479 2.479
Rh 2.479 0.000 2.479
Rh 2.479 2.479 0.000
```

Its space-group type is No. 221. As for the density of states at the Fermi level: 0.279 states/eV/atom. The calculation puts the total energy at -39.98 eV/atom.


A crystal of SrZrBi2Rh relaxed with PBEsol. Source: Alexandria via LeMat-Bulk, functional meta-GGA SCAN.

Geometry as extended XYZ:
```
5
Lattice="5.744 0.000 0.000 0.000 5.744 0.000 0.000 0.000 4.667" Properties=species:S:1:pos:R:3 pbc="T T T"
Sr 0.000 0.000 0.000
Zr 2.872 2.872 2.334
Bi 0.000 2.872 0.000
Bi 2.872 0.000 0.000
Rh 0.000 0.000 2.334
```

Its space-group type is No. 123. As for the density of states at the Fermi level: 0.833 states/eV/atom. The calculation puts the total energy at -47.54 eV/atom.


A crystal of TbBiRh relaxed with PBEsol. Source: Alexandria via LeMat-Bulk, functional meta-GGA SCAN.

Geometry as extended XYZ:
```
9
Lattice="7.562 0.000 0.000 -3.781 6.549 0.000 0.000 0.000 3.939" Properties=species:S:1:pos:R:3 pbc="T T T"
Tb -1.516 2.626 0.000
Tb 3.032 0.000 0.000
Tb 2.265 3.923 0.000
Bi -2.779 4.813 1.969
Bi 1.002 1.736 1.969
Bi 5.558 0.000 1.969
Rh 0.000 0.000 0.000
Rh 0.000 4.366 1.969
Rh 3.781 2.183 1.969
```

Its space-group type is No. 189. As for the density of states at the Fermi level: 0.443 states/eV/atom. The calculation puts the total energy at -53.93 eV/atom.


A crystal of BiTeRh relaxed with PBEsol. Source: Alexandria via LeMat-Bulk, functional meta-GGA SCAN.

Geometry as extended XYZ:
```
12
Lattice="6.501 0.000 0.000 0.000 6.501 0.000 0.000 0.000 6.501" Properties=species:S:1:pos:R:3 pbc="T T T"
Bi 0.861 2.390 4.111
Bi 2.390 4.111 0.861
Bi 4.111 0.861 2.390
Bi 5.641 5.641 5.641
Te 0.833 0.833 0.833
Te 2.418 5.668 4.084
Te 4.084 2.418 5.668
Te 5.668 4.084 2.418
Rh 0.047 6.454 3.203
Rh 3.203 0.047 6.454
Rh 3.298 3.298 3.298
Rh 6.454 3.203 0.047
```

Its space-group type is No. 198. As for the density of states at the Fermi level: 0.027 states/eV/atom. The calculation puts the total energy at -50.31 eV/atom.